Entry from the Alexandria database: a relaxed structure of YCdI2O (GGA-PBE).

Lattice parameters (Å, degrees): 6.019 6.019 4.002 90.00 90.00 90.00
Fractional coordinates of all 5 atoms:
1 I 0.000 0.500 0.000
2 I 0.500 0.000 0.000
3 Y 0.500 0.500 0.500
4 O 0.000 0.000 0.500
5 Cd 0.000 0.000 0.000

Values from the calculation:
Space group ... P4/mmm
Total magnetic moment ... 0.0 μB per formula unit
Distance to the lowest polymorph of the same formula ... 738 meV per atom
Raw formation energy ... -0.474 eV/atom
Calculated volume ... 145.0 Å³ per cell
DFT total energy ... -3.562 eV per atom

***

Entry from the Alexandria database: a relaxed structure of YCdIO6 (GGA-PBE).

Lattice parameters (Å, degrees): 5.621 5.621 9.266 90.00 90.00 120.00
Fractional coordinates of all 18 atoms:
1 Y 0.333 0.667 0.250
2 Y 0.667 0.333 0.750
3 Cd 0.000 0.000 0.000
4 Cd 0.000 0.000 0.500
5 I 0.667 0.333 0.250
6 I 0.333 0.667 0.750
7 O 0.662 0.613 0.135
8 O 0.951 0.338 0.135
9 O 0.338 0.951 0.635
10 O 0.049 0.662 0.865
11 O 0.387 0.338 0.365
12 O 0.951 0.613 0.365
13 O 0.613 0.951 0.865
14 O 0.662 0.049 0.365
15 O 0.049 0.387 0.635
16 O 0.387 0.049 0.135
17 O 0.613 0.662 0.635
18 O 0.338 0.387 0.865

Values from the calculation:
Space group ... P-31c
Total magnetic moment ... 0.0 μB per formula unit
Raw formation energy ... -1.363 eV/atom
Calculated volume ... 253.5 Å³ per cell
DFT total energy ... -5.661 eV per atom

***

Entry from the Alexandria database: a relaxed structure of YCd2IO6 (GGA-PBE).

Lattice parameters (Å, degrees): 5.784 5.784 5.998 61.17 61.17 60.00
Fractional coordinates of all 10 atoms:
1 Y 0.814 0.814 0.558
2 Cd 0.544 0.544 0.367
3 Cd 0.029 0.029 0.914
4 I 0.320 0.320 0.039
5 O 0.599 0.197 0.260
6 O 0.197 0.944 0.260
7 O 0.944 0.599 0.260
8 O 0.428 0.671 0.785
9 O 0.671 0.115 0.785
10 O 0.115 0.428 0.786

Values from the calculation:
Space group ... R3
Total magnetic moment ... 0.0 μB per formula unit
Raw formation energy ... -1.384 eV/atom
Calculated volume ... 144.3 Å³ per cell
DFT total energy ... -5.344 eV per atom

***

Entry from the Alexandria database: a relaxed structure of YCdI2O (GGA-PBE).

Lattice parameters (Å, degrees): 6.253 6.253 4.188 90.00 90.00 90.00
Fractional coordinates of all 5 atoms:
1 I 0.000 0.500 0.000
2 I 0.500 0.000 0.000
3 Y 0.000 0.000 0.000
4 O 0.000 0.000 0.500
5 Cd 0.500 0.500 0.500

Values from the calculation:
Space group ... P4/mmm
Total magnetic moment ... 0.0 μB per formula unit
Distance to the lowest polymorph of the same formula ... 0 meV per atom
Raw formation energy ... -1.212 eV/atom
Calculated volume ... 163.8 Å³ per cell
DFT total energy ... -4.300 eV per atom

***

Entry from the Alexandria database: a relaxed structure of ZnCdI2O (GGA-PBE).

Lattice parameters (Å, degrees): 5.839 5.839 3.747 90.00 90.00 90.00
Fractional coordinates of all 5 atoms:
1 I 0.000 0.500 0.000
2 I 0.500 0.000 0.000
3 Zn 0.000 0.000 0.000
4 O 0.000 0.000 0.500
5 Cd 0.500 0.500 0.500

Values from the calculation:
Space group ... P4/mmm
Total magnetic moment ... 0.0 μB per formula unit
Distance to the lowest polymorph of the same formula ... 0 meV per atom
Raw formation energy ... -0.219 eV/atom
Calculated volume ... 127.7 Å³ per cell
DFT total energy ... -2.268 eV per atom

***

Entry from the Alexandria database: a relaxed structure of ZnCdI2O (GGA-PBE).

Lattice parameters (Å, degrees): 5.979 5.979 4.094 90.00 90.00 90.00
Fractional coordinates of all 5 atoms:
1 I 0.000 0.500 0.000
2 I 0.500 0.000 0.000
3 Zn 0.500 0.500 0.500
4 O 0.000 0.000 0.500
5 Cd 0.000 0.000 0.000

Values from the calculation:
Space group ... P4/mmm
Total magnetic moment ... 0.0 μB per formula unit
Distance to the lowest polymorph of the same formula ... 310 meV per atom
Raw formation energy ... 0.091 eV/atom
Calculated volume ... 146.3 Å³ per cell
DFT total energy ... -1.958 eV per atom

***

Entry from the Alexandria database: a relaxed structure of ZnCdIO2 (GGA-PBE).

Lattice parameters (Å, degrees): 4.040 4.040 6.061 90.00 90.00 90.00
Last column: magnetic moment on the atom in μB.
Fractional coordinates of all 5 atoms:
1 I 0.000 0.000 0.500  0.00
2 Zn 0.000 0.000 0.000  0.03
3 O 0.000 0.500 0.000  0.55
4 O 0.500 0.000 0.000  0.55
5 Cd 0.500 0.500 0.500  0.02

Values from the calculation:
Space group ... P4/mmm
Total magnetic moment ... 1.4 μB per formula unit
Distance to the lowest polymorph of the same formula ... 0 meV per atom
Raw formation energy ... -0.105 eV/atom
Calculated volume ... 98.9 Å³ per cell
DFT total energy ... -2.836 eV per atom

***

Entry from the Alexandria database: a relaxed structure of ZnCdIO2 (GGA-PBE).

Lattice parameters (Å, degrees): 4.155 4.155 6.821 90.00 90.00 90.00
Last column: magnetic moment on the atom in μB.
Fractional coordinates of all 5 atoms:
1 I 0.000 0.000 0.500  -0.01
2 Zn 0.500 0.500 0.500  0.00
3 O 0.000 0.500 0.000  0.47
4 O 0.500 0.000 0.000  0.47
5 Cd 0.000 0.000 0.000  -0.01

Values from the calculation:
Space group ... P4/mmm
Total magnetic moment ... 1.1 μB per formula unit
Distance to the lowest polymorph of the same formula ... 212 meV per atom
Raw formation energy ... 0.107 eV/atom
Calculated volume ... 117.8 Å³ per cell
DFT total energy ... -2.624 eV per atom

***

Entry from the Alexandria database: a relaxed structure of Zn2CdIO6 (GGA-PBE).

Lattice parameters (Å, degrees): 5.457 5.457 5.791 61.88 61.88 60.00
Last column: magnetic moment on the atom in μB.
Fractional coordinates of all 10 atoms:
1 Zn 0.538 0.538 0.386  0.01
2 Zn 0.016 0.016 0.952  0.00
3 Cd 0.804 0.804 0.588  0.01
4 I 0.322 0.322 0.034  0.07
5 O 0.595 0.234 0.242  0.11
6 O 0.234 0.929 0.242  0.11
7 O 0.929 0.595 0.242  0.11
8 O 0.381 0.702 0.776  0.05
9 O 0.702 0.141 0.776  0.04
10 O 0.141 0.381 0.776  0.05

Values from the calculation:
Space group ... R3
Total magnetic moment ... 0.6 μB per formula unit
Raw formation energy ... -0.839 eV/atom
Calculated volume ... 125.3 Å³ per cell
DFT total energy ... -4.315 eV per atom

***

Entry from the Alexandria database: a relaxed structure of ZrCdIO6 (GGA-PBE).

Lattice parameters (Å, degrees): 5.504 5.504 9.689 90.00 90.00 120.00
Fractional coordinates of all 18 atoms:
1 Zr 0.333 0.667 0.250
2 Zr 0.667 0.333 0.750
3 Cd 0.000 0.000 0.000
4 Cd 0.000 0.000 0.500
5 I 0.667 0.333 0.250
6 I 0.333 0.667 0.750
7 O 0.644 0.628 0.136
8 O 0.983 0.356 0.136
9 O 0.356 0.983 0.636
10 O 0.017 0.644 0.864
11 O 0.372 0.356 0.364
12 O 0.983 0.628 0.364
13 O 0.628 0.983 0.864
14 O 0.644 0.017 0.364
15 O 0.017 0.372 0.636
16 O 0.372 0.017 0.136
17 O 0.628 0.644 0.636
18 O 0.356 0.372 0.864

Values from the calculation:
Space group ... P-31c
Total magnetic moment ... 0.0 μB per formula unit
Raw formation energy ... -1.356 eV/atom
Calculated volume ... 254.2 Å³ per cell
DFT total energy ... -5.885 eV per atom

***

Entry from the Alexandria database: a relaxed structure of ZrCdIO2 (GGA-PBE).

Lattice parameters (Å, degrees): 4.185 4.185 6.186 90.00 90.00 90.00
Fractional coordinates of all 5 atoms:
1 I 0.000 0.000 0.500
2 O 0.000 0.500 0.000
3 O 0.500 0.000 0.000
4 Zr 0.000 0.000 0.000
5 Cd 0.500 0.500 0.500

Values from the calculation:
Space group ... P4/mmm
Total magnetic moment ... 0.0 μB per formula unit
Distance to the lowest polymorph of the same formula ... 0 meV per atom
Raw formation energy ... -1.486 eV/atom
Calculated volume ... 108.3 Å³ per cell
DFT total energy ... -5.672 eV per atom

***

Entry from the Alexandria database: a relaxed structure of ZrCdIO2 (GGA-PBE).

Lattice parameters (Å, degrees): 4.284 4.284 5.514 90.00 90.00 90.00
Last column: magnetic moment on the atom in μB.
Fractional coordinates of all 5 atoms:
1 I 0.000 0.000 0.500  0.00
2 O 0.000 0.500 0.000  -0.11
3 O 0.500 0.000 0.000  -0.11
4 Zr 0.500 0.500 0.500  0.76
5 Cd 0.000 0.000 0.000  -0.01

Values from the calculation:
Space group ... P4/mmm
Total magnetic moment ... 0.8 μB per formula unit
Distance to the lowest polymorph of the same formula ... 1588 meV per atom
Raw formation energy ... 0.102 eV/atom
Calculated volume ... 101.2 Å³ per cell
DFT total energy ... -4.084 eV per atom